Entry 1:
Compound: Hg5Pb4
Source: Alexandria
Functional: PBEsol
Structure: optimized geometry

Cell and atoms, written as POSCAR:
```
Hg5Pb4
1.0
-5.727 5.727 1.795
5.727 -5.727 1.795
5.727 5.727 -1.795
Hg Pb
5 4
Cartesian
0.000 0.000 0.000 Hg
3.821 3.821 0.000 Hg
1.906 -1.906 1.795 Hg
-1.906 1.906 1.795 Hg
1.906 1.906 1.795 Hg
3.690 0.000 0.000 Pb
7.764 0.000 0.000 Pb
0.000 3.690 0.000 Pb
0.000 7.764 0.000 Pb
```

Output
Energy above the lowest structure with this stoichiometry (eV per formula unit): 0.00
Calculated volume (Å³ per atom): 26.172
ΔE_f (eV per atom): 0.016
VASP energy (eV per atom): -2.076

---

Entry 2:
Compound: CdAgOF2
Source: Alexandria
Functional: PBEsol
Structure: optimized geometry

Cell and atoms, written as POSCAR:
```
CdAgOF2
1.0
4.272 0.000 0.000
0.000 4.272 0.000
0.000 0.000 4.149
Cd Ag O F
1 1 1 2
Cartesian
0.000 0.000 0.000 Cd
2.136 2.136 2.075 Ag
0.000 0.000 2.075 O
0.000 2.136 0.000 F
2.136 0.000 0.000 F
```

Output
Calculated volume (Å³ per atom): 15.148
ΔE_f (raw) (eV per atom): -0.77
VASP energy (eV per atom): -3.492

---

- The highest calculated volume belongs to which entry?
  Hg5Pb4